Entry 1:
The following is a DFT calculation (GGA-PBEsol) of a relaxed HfAl2Cl crystal.

Unit cell a=4.819 b=4.819 c=4.819 alpha=60.00 beta=60.00 gamma=60.00
Fractional coordinates of all 4 atoms:
Hf1 0.500 0.500 0.500
Al1 0.250 0.250 0.250
Al2 0.750 0.750 0.750
Cl1 0.000 0.000 0.000

Summary:
- formation energy from raw total energies (kcal/mol of atoms) = 7.90
- SG = Fm-3m



Entry 2:
The following is a DFT calculation (GGA-PBEsol) of a relaxed Ba2YMn crystal.

Unit cell a=5.741 b=5.764 c=5.741 alpha=60.13 beta=90.00 gamma=119.87
Each line ends with the local moment (μB).
Fractional coordinates of all 4 atoms:
Y1 0.750 0.500 0.750  -0.29
Ba1 0.250 0.500 0.250  -0.05
Ba2 0.000 0.000 0.000  -0.12
Mn1 0.500 0.000 0.500  4.05

Summary:
- E above lowest polymorph (eV per atom) = 0.034
- SG = I-4m2
- E_form (meV/atom) = 622



Entry 3:
The following is a DFT calculation (GGA-PBEsol) of a relaxed KMnNi crystal.

Unit cell a=2.797 b=4.809 c=4.809 alpha=120.00 beta=90.00 gamma=90.00
Each line ends with the local moment (μB).
Fractional coordinates of all 3 atoms:
Ni1 0.425 0.667 0.333  0.56
K1 0.012 0.000 0.000  0.01
Mn1 0.563 0.333 0.667  3.90

Summary:
- E above lowest polymorph (eV per atom) = 0.476
- SG = P3m1
- E_form (meV/atom) = 1185



Entry 4:
The following is a DFT calculation (GGA-PBEsol) of a relaxed La2MnSe crystal.

Unit cell a=3.694 b=3.694 c=7.302 alpha=90.00 beta=90.00 gamma=90.00
Each line ends with the local moment (μB).
Fractional coordinates of all 4 atoms:
Se1 0.500 0.500 0.500  0.03
La1 0.000 0.000 0.747  -0.21
La2 0.000 0.000 0.253  -0.21
Mn1 0.500 0.500 0.000  3.47

Summary:
- formation energy from raw total energies (kcal/mol of atoms) = -12.47
- SG = P4/mmm



Entry 5:
The following is a DFT calculation (GGA-PBEsol) of a relaxed Mo2OsRh crystal.

Unit cell a=2.728 b=3.867 c=5.472 alpha=90.00 beta=90.00 gamma=90.00
Fractional coordinates of all 4 atoms:
Rh1 0.500 0.500 0.500
Os1 0.500 0.500 0.000
Mo1 0.000 0.000 0.246
Mo2 0.000 0.000 0.754

Summary:
- E above lowest polymorph (eV per atom) = 0.015
- SG = Pmmm
- E_form (meV/atom) = -65



Entry 6:
The following is a DFT calculation (GGA-PBEsol) of a relaxed LiDyP4O12 crystal.

Unit cell a=7.012 b=8.834 c=8.844 alpha=65.46 beta=66.65 gamma=66.62
Fractional coordinates of all 36 atoms:
O1 0.937 0.202 0.926
O2 0.488 0.231 0.023
O3 0.681 0.842 0.649
O4 0.512 0.769 0.977
O5 0.063 0.798 0.074
O6 0.648 0.585 0.278
O7 0.671 0.541 0.684
O8 0.510 0.915 0.222
O9 0.742 0.269 0.477
O10 0.103 0.041 0.184
O11 0.027 0.424 0.265
O12 0.319 0.158 0.351
O13 0.973 0.576 0.735
O14 0.490 0.085 0.778
O15 0.284 0.924 0.765
O16 0.935 0.702 0.426
O17 0.897 0.959 0.816
O18 0.171 0.658 0.851
O19 0.258 0.731 0.523
O20 0.716 0.076 0.235
O21 0.065 0.298 0.574
O22 0.829 0.342 0.149
O23 0.329 0.459 0.316
O24 0.352 0.415 0.722
P1 0.086 0.842 0.885
P2 0.914 0.158 0.115
P3 0.792 0.403 0.306
P4 0.499 0.903 0.806
P5 0.208 0.597 0.694
P6 0.813 0.658 0.615
P7 0.187 0.342 0.385
P8 0.501 0.097 0.194
Li1 0.207 0.250 0.750
Li2 0.793 0.750 0.250
Dy1 0.293 0.750 0.250
Dy2 0.707 0.250 0.750

Summary:
- formation energy from raw total energies (kcal/mol of atoms) = -57.44
- SG = C2/c



Entry 7:
The following is a DFT calculation (GGA-PBEsol) of a relaxed Al5Te crystal.

Unit cell a=5.439 b=5.439 c=5.439 alpha=60.00 beta=60.00 gamma=60.00
Fractional coordinates of all 6 atoms:
Al1 0.624 0.624 0.624
Al2 0.250 0.250 0.250
Al3 0.624 0.128 0.624
Al4 0.624 0.624 0.128
Al5 0.128 0.624 0.624
Te1 0.000 0.000 0.000

Summary:
- E above lowest polymorph (eV per atom) = 0.050
- formation energy from raw total energies (kcal/mol of atoms) = 4.98
- SG = F-43m



Entry 8:
The following is a DFT calculation (GGA-PBEsol) of a relaxed TlGePO2 crystal.

Unit cell a=3.757 b=3.757 c=5.053 alpha=90.00 beta=90.00 gamma=90.00
Fractional coordinates of all 5 atoms:
O1 0.000 0.500 0.000
O2 0.500 0.000 0.000
Ge1 0.000 0.000 0.000
Tl1 0.500 0.500 0.500
P1 0.000 0.000 0.500

Summary:
- formation energy from raw total energies (kcal/mol of atoms) = -10.80
- SG = P4/mmm



Entry 9:
The following is a DFT calculation (GGA-PBEsol) of a relaxed Sc2Rh crystal.

Unit cell a=3.120 b=4.458 c=4.458 alpha=120.00 beta=90.00 gamma=90.00
Fractional coordinates of all 3 atoms:
Sc1 0.289 0.333 0.667
Sc2 0.711 0.667 0.333
Rh1 0.000 0.000 0.000

Summary:
- SG = P-3m1
- E_form (meV/atom) = -502



Entry 10:
The following is a DFT calculation (GGA-PBEsol) of a relaxed ZrBiP2 crystal.

Unit cell a=6.236 b=6.236 c=7.248 alpha=115.48 beta=115.48 gamma=90.00
Fractional coordinates of all 8 atoms:
Zr1 0.750 0.250 0.500
Zr2 0.500 0.500 0.000
P1 0.841 0.375 0.250
P2 0.625 0.591 0.750
P3 0.125 0.159 0.750
P4 0.409 0.875 0.250
Bi1 0.250 0.750 0.500
Bi2 0.000 0.000 0.000

Summary:
- SG = I-42d
- E_form (meV/atom) = -66



Entry 11:
The following is a DFT calculation (GGA-PBEsol) of a relaxed SiTe2AuI crystal.

Unit cell a=5.332 b=5.379 c=5.379 alpha=90.00 beta=90.00 gamma=90.00
Fractional coordinates of all 5 atoms:
Si1 0.500 0.500 0.500
Au1 0.000 0.000 0.000
Te1 0.000 0.000 0.500
Te2 0.000 0.500 0.000
I1 0.500 0.000 0.000

Summary:
- formation energy from raw total energies (kcal/mol of atoms) = 17.02
- SG = P4/mmm



Entry 12:
The following is a DFT calculation (GGA-PBEsol) of a relaxed Ta3C crystal.

Unit cell a=3.052 b=3.052 c=7.558 alpha=78.35 beta=78.35 gamma=60.00
Fractional coordinates of all 4 atoms:
Ta1 0.500 0.500 0.500
Ta2 0.724 0.724 0.828
Ta3 0.276 0.276 0.172
C1 0.000 0.000 0.000

Summary:
- E above lowest polymorph (eV per atom) = 0.000
- SG = R-3m
- E_form (meV/atom) = -389



DOS(E_F)
In order: 2.166, 4.669, 1.586, 4.794, 3.674, 0.000, 3.239, 1.877, 3.677, 3.630, 3.793, 1.862
Unit: states/eV/f.u.
E
In order: -19.3, -18.4, -13.5, -26.5, -44.2, -275.9, -22.7, -26.2, -22.9, -50.4, -14.8, -48.9
Unit: eV for the cell shown
Volume
In order: 19.78, 33.72, 18.67, 24.91, 14.43, 12.21, 18.96, 14.26, 17.89, 27.96, 30.85, 14.83
Unit: Å³/atom